Dy2FeSbO7 | PBE with a Hubbard U | optimized geometry

Cell: 7.298 7.298 7.298 Å, 120.36 119.40 90.21°
Fractional coordinates of all 22 atoms:
Dy (0.000, 0.000, 0.000)
Dy (0.500, 0.000, 0.000)
Dy (0.500, 0.000, 0.500)
Dy (0.500, 0.500, 0.500)
Fe (0.000, 0.000, 0.500)
Fe (0.000, 0.500, 0.000)
Sb (0.000, 0.500, 0.500)
Sb (0.500, 0.500, 0.000)
O (0.090, 0.840, 0.250)
O (0.091, 0.421, 0.260)
O (0.091, 0.831, 0.670)
O (0.330, 0.580, 0.750)
O (0.339, 0.169, 0.760)
O (0.339, 0.579, 0.170)
O (0.377, 0.127, 0.250)
O (0.623, 0.873, 0.750)
O (0.661, 0.421, 0.830)
O (0.661, 0.831, 0.240)
O (0.670, 0.420, 0.250)
O (0.909, 0.169, 0.330)
O (0.909, 0.579, 0.740)
O (0.910, 0.160, 0.750)

Output
- ρ (kg/m3) = 7412
- VASP energy (eV/atom) = -7.373
- DOS(E_F) (states/eV per atom) = 0.00
- symmetry = Imma